1.
Entry from Alexandria via LeMat-Bulk: a relaxed KFe2P crystal (PBE).

Geometry as POSCAR:
```
KFe2P
1.0
5.3008 -0.0007 -0.0024
-2.6768 4.9478 -0.0159
-0.0529 0.7166 2.5475
Fe K P
2 1 1
Direct
0.0000 0.0000 0.0000
0.5000 0.0000 0.5000
0.0000 0.5000 0.5000
0.5000 0.5000 0.0000
```

As for the energy: -4.925 eV/atom. The crystal system is monoclinic.

---

2.
Entry from Alexandria via LeMat-Bulk: a relaxed PaZnAu2 crystal (PBE).

Geometry as POSCAR:
```
PaZnAu2
1.0
-3.1333 -0.5641 1.4785
-1.2787 -2.8207 -3.7860
1.7965 -3.9180 2.3124
Zn Pa Au
1 1 2
Direct
0.5000 0.0000 0.0000
0.5000 0.5000 0.5000
0.0000 0.0000 0.5000
0.0000 0.5000 0.0000
```

As for the energy: -4.445 eV/atom. The crystal system is tetragonal.

---

3.
Entry from Alexandria via LeMat-Bulk: a relaxed TaCd2Fe crystal (PBE).

Geometry as POSCAR:
```
TaCd2Fe
1.0
-3.3477 -3.0511 0.8963
0.4696 -4.3982 -1.3247
0.6709 -3.3027 3.1562
Cd Fe Ta
2 1 1
Direct
0.0000 0.0000 0.0000
0.2500 0.2500 0.2500
0.5000 0.5000 0.5000
0.7500 0.7500 0.7500
```

As for the energy: -5.099 eV/atom. As for the energy relative to the lowest polymorph listed for this composition: 284 meV per atom. The crystal system is cubic.

---

no.,calculated volume (Å³/cell),formation enthalpy at 0 K (eV per atom)
1,66.9,0.933
2,84.0,-0.114
3,69.6,0.437